The following is a DFT calculation (PBE with a Hubbard U) of a relaxed Li3Mn5OF11 crystal.

Computed properties:
Density ... 3.2 g/cm³
Energy above the lowest structure with this stoichiometry ... 0.30 eV/f.u.

a b c (Å): 5.937 5.834 8.493
angles (deg): 89.49 92.59 114.33
Positions (direct):
1 Li 0.457 0.227 0.477
2 Li 0.945 0.197 0.377
3 Li 0.316 0.938 0.921
4 F 0.064 0.558 0.408
5 F 0.038 0.306 0.163
6 F 0.636 0.373 0.662
7 F 0.177 0.161 0.855
8 F 0.740 0.844 0.745
9 F 0.208 0.682 0.766
10 F 0.597 0.083 0.328
11 F 0.103 0.806 0.101
12 F 0.622 0.213 0.983
13 F 0.117 0.048 0.486
14 F 0.587 0.553 0.373
15 O 0.577 0.686 0.055
16 Mn 0.942 0.707 0.600
17 Mn 0.365 0.706 0.240
18 Mn 0.762 0.483 0.171
19 Mn 0.460 0.508 0.832
20 Mn 0.862 0.019 0.983